[1]
Here is KOsPt2O at its PBEsol-relaxed geometry from Alexandria. Energies are from meta-GGA SCAN.

Unit cell a=3.7535 b=4.6857 c=4.6857 alpha=90.00 beta=90.00 gamma=90.00
Last column: nearest neighbours and their distance in Å.
Element x y z (fractional)
Pt 0.0000 0.5000 0.0000  2 O 2.34
Pt 0.0000 0.0000 0.5000  2 O 2.34
K 0.5000 0.5000 0.5000  8 Pt 3.00, 4 Os 3.31
Os 0.5000 0.0000 0.0000  2 O 1.88
O 0.0000 0.0000 0.0000  2 Os 1.88

final energy: -44.534 eV per atom
magnetization: 0.0 μB per cell
uncorrected formation energy: 0.83 eV per atom
density of states at the Fermi level: 3.2 states/eV/cell

=====

[2]
Here is K3PO4 at its PBEsol-relaxed geometry from Alexandria. Energies are from meta-GGA SCAN.

Unit cell a=5.9272 b=8.0405 c=11.1690 alpha=90.00 beta=90.00 gamma=90.00
Last column: nearest neighbours and their distance in Å.
Element x y z (fractional)
K 0.8055 0.0084 0.3555  6 O 2.71-2.96
K 0.8055 0.4916 0.3555  6 O 2.71-2.96
K 0.6353 0.7500 0.5689  4 O 2.54-2.78
K 0.1945 0.9916 0.6445  6 O 2.71-2.96
K 0.8647 0.7500 0.0689  4 O 2.54-2.78
K 0.6945 0.0084 0.8555  6 O 2.71-2.96
K 0.1353 0.2500 0.9311  4 O 2.54-2.78
K 0.3055 0.9916 0.1445  6 O 2.71-2.96
K 0.3055 0.5084 0.1445  6 O 2.71-2.96
K 0.3647 0.2500 0.4311  4 O 2.54-2.78
K 0.6945 0.4916 0.8555  6 O 2.71-2.96
K 0.1945 0.5084 0.6445  6 O 2.71-2.96
O 0.8671 0.4090 0.1100  1 P 1.56
O 0.0766 0.7500 0.2669  1 P 1.56
O 0.9497 0.2500 0.5068  1 P 1.56
O 0.8671 0.0910 0.1100  1 P 1.56
O 0.4497 0.7500 0.9932  1 P 1.56
O 0.3671 0.5910 0.3900  1 P 1.56
O 0.4234 0.7500 0.7669  1 P 1.56
O 0.9234 0.2500 0.7331  1 P 1.56
O 0.6329 0.4090 0.6100  1 P 1.56
O 0.3671 0.9090 0.3900  1 P 1.56
O 0.1329 0.9090 0.8900  1 P 1.56
O 0.6329 0.0910 0.6100  1 P 1.56
O 0.1329 0.5910 0.8900  1 P 1.56
O 0.5503 0.2500 0.0068  1 P 1.56
O 0.0503 0.7500 0.4932  1 P 1.56
O 0.5766 0.2500 0.2331  1 P 1.56
P 0.2175 0.7500 0.3848  4 O 1.56
P 0.7825 0.2500 0.6152  4 O 1.56
P 0.2825 0.7500 0.8848  4 O 1.56
P 0.7175 0.2500 0.1152  4 O 1.56

final energy: -9.980 eV per atom
magnetization: 0.5 μB per cell
uncorrected formation energy: -2.44 eV per atom
density of states at the Fermi level: 0.0 states/eV/cell

=====

[3]
Here is KPO3 at its PBEsol-relaxed geometry from Alexandria. Energies are from meta-GGA SCAN.

Unit cell a=7.3779 b=11.0468 c=11.9888 alpha=90.00 beta=90.00 gamma=102.22
Last column: nearest neighbours and their distance in Å.
Element x y z (fractional)
P 0.9265 0.1775 0.8274  4 O 1.49-1.63
P 0.7753 0.1645 0.4447  4 O 1.49-1.63
P 0.6285 0.3453 0.5712  4 O 1.49-1.64
P 0.2247 0.8355 0.5553  4 O 1.49-1.63
P 0.5735 0.3225 0.3274  4 O 1.49-1.63
P 0.7247 0.3355 0.9447  4 O 1.49-1.63
P 0.2753 0.6645 0.0553  4 O 1.49-1.63
P 0.8715 0.1547 0.0712  4 O 1.49-1.64
P 0.0735 0.8225 0.1726  4 O 1.49-1.63
P 0.1285 0.8453 0.9288  4 O 1.49-1.64
P 0.4265 0.6775 0.6726  4 O 1.49-1.63
P 0.3715 0.6547 0.4288  4 O 1.49-1.64
O 0.3684 0.8102 0.6516  2 P 1.63
O 0.4797 0.6426 0.5461  2 P 1.63-1.64
O 0.2357 0.9180 0.2125  1 P 1.50
O 0.7357 0.4180 0.2875  1 P 1.50
O 0.2643 0.5820 0.7125  1 P 1.50
O 0.1772 0.7086 0.9449  2 P 1.63-1.64
O 0.9797 0.1426 0.9539  2 P 1.63-1.64
O 0.5380 0.2530 0.9266  1 P 1.50
O 0.2609 0.5278 0.0494  1 P 1.49
O 0.8978 0.7933 0.2384  1 P 1.49
O 0.5145 0.6654 0.3394  1 P 1.49
O 0.6966 0.0576 0.0782  1 P 1.50
O 0.5203 0.3574 0.4539  2 P 1.63-1.64
O 0.6316 0.1898 0.3484  2 P 1.63
O 0.8034 0.4424 0.5782  1 P 1.50
O 0.9855 0.8346 0.8394  1 P 1.49
O 0.7643 0.0820 0.7875  1 P 1.50
O 0.3228 0.7914 0.4449  2 P 1.63-1.64
O 0.4620 0.7470 0.0734  1 P 1.50
O 0.0145 0.1654 0.1606  1 P 1.49
O 0.6022 0.7067 0.7383  1 P 1.49
O 0.2391 0.9722 0.5494  1 P 1.49
O 0.1966 0.5576 0.4218  1 P 1.50
O 0.8228 0.2914 0.0551  2 P 1.63-1.64
O 0.1316 0.6898 0.1516  2 P 1.63
O 0.3034 0.9424 0.9218  1 P 1.50
O 0.7391 0.4722 0.9506  1 P 1.49
O 0.7609 0.0278 0.4506  1 P 1.49
O 0.8684 0.3102 0.8484  2 P 1.63
O 0.3978 0.2933 0.2616  1 P 1.49
O 0.4855 0.3346 0.6606  1 P 1.49
O 0.1022 0.2067 0.7617  1 P 1.49
O 0.0380 0.7530 0.5734  1 P 1.50
O 0.0203 0.8574 0.0461  2 P 1.63-1.64
O 0.6772 0.2086 0.5551  2 P 1.63-1.64
O 0.9620 0.2470 0.4266  1 P 1.50
K 0.9036 0.6006 0.7562  6 O 2.72-2.86
K 0.1540 0.0806 0.3585  5 O 2.67-2.88
K 0.6540 0.5806 0.1415  5 O 2.67-2.88
K 0.8501 0.6194 0.4177  6 O 2.59-2.85
K 0.3460 0.4194 0.8585  5 O 2.67-2.88
K 0.5964 0.8994 0.2562  6 O 2.72-2.86
K 0.8460 0.9194 0.6415  5 O 2.67-2.88
K 0.4036 0.1006 0.7438  6 O 2.72-2.86
K 0.0964 0.3994 0.2438  6 O 2.72-2.86
K 0.6499 0.8806 0.9177  6 O 2.59-2.85
K 0.3501 0.1194 0.0823  6 O 2.59-2.85
K 0.1499 0.3806 0.5823  6 O 2.59-2.85

final energy: -9.988 eV per atom
magnetization: 0.0 μB per cell
uncorrected formation energy: -2.50 eV per atom
density of states at the Fermi level: 0.0 states/eV/cell

=====

[4]
Here is KP3O at its PBEsol-relaxed geometry from Alexandria. Energies are from meta-GGA SCAN.

Unit cell a=4.3482 b=4.3482 c=4.3482 alpha=90.00 beta=90.00 gamma=90.00
Last column: nearest neighbours and their distance in Å.
Element x y z (fractional)
K 0.5000 0.5000 0.5000  12 P 3.07
P 0.5000 0.0000 0.0000  2 O 2.17
P 0.0000 0.5000 0.0000  2 O 2.17
P 0.0000 0.0000 0.5000  2 O 2.17
O 0.0000 0.0000 0.0000  6 P 2.17

final energy: -8.576 eV per atom
magnetization: 0.0 μB per cell
uncorrected formation energy: 0.58 eV per atom
density of states at the Fermi level: 4.1 states/eV/cell

=====

[5]
Here is K15P16Pd9O56 at its PBEsol-relaxed geometry from Alexandria. Energies are from meta-GGA SCAN.

Unit cell a=11.7204 b=11.7204 c=12.2206 alpha=67.01 beta=67.01 gamma=73.10
Last column: nearest neighbours and their distance in Å.
Element x y z (fractional)
O 0.7484 0.0119 0.3875  1 P 1.55
O 0.2047 0.2047 0.7544  2 P 1.63
O 0.5808 0.8484 0.6859  1 P 1.55
O 0.4160 0.7657 0.6130  1 P 1.53
O 0.8178 0.6199 0.1609  1 P 1.55
O 0.1516 0.4192 0.3141  1 P 1.55
O 0.5840 0.2343 0.3870  1 P 1.53
O 0.1836 0.8481 0.1856  1 P 1.49
O 0.1519 0.8164 0.8144  1 P 1.49
O 0.9728 0.9728 0.2495  2 P 1.63
O 0.2617 0.0021 0.9193  1 P 1.50
O 0.3801 0.1822 0.8391  1 P 1.55
O 0.8793 0.0858 0.6231  1 P 1.55
O 0.9279 0.5927 0.3125  1 P 1.54
O 0.2669 0.4822 0.0776  1 P 1.54
O 0.5927 0.9279 0.3125  1 P 1.54
O 0.1822 0.3801 0.8391  1 P 1.55
O 0.3925 0.0651 0.1621  1 P 1.51
O 0.9979 0.7383 0.0807  1 P 1.50
O 0.9349 0.6075 0.8379  1 P 1.51
O 0.3901 0.6089 0.8342  1 P 1.53
O 0.4192 0.1516 0.3141  1 P 1.55
O 0.7953 0.7953 0.2456  2 P 1.63
O 0.5689 0.5689 0.6437  2 P 1.62
O 0.5178 0.7331 0.9224  1 P 1.54
O 0.7657 0.4160 0.6130  1 P 1.53
O 0.7478 0.7478 0.7858  2 P 1.63
O 0.3439 0.5627 0.6680  1 P 1.54
O 0.2343 0.5840 0.3870  1 P 1.53
O 0.0858 0.8793 0.6231  1 P 1.55
O 0.0021 0.2617 0.9193  1 P 1.50
O 0.4311 0.4311 0.3563  2 P 1.62
O 0.4373 0.6561 0.3320  1 P 1.54
O 0.8481 0.1836 0.1856  1 P 1.49
O 0.0721 0.4073 0.6875  1 P 1.54
O 0.0272 0.0272 0.7505  2 P 1.63
O 0.4073 0.0721 0.6875  1 P 1.54
O 0.6199 0.8178 0.1609  1 P 1.55
O 0.6075 0.9349 0.8379  1 P 1.51
O 0.0119 0.7484 0.3875  1 P 1.55
O 0.7383 0.9979 0.0807  1 P 1.50
O 0.6561 0.4373 0.3320  1 P 1.54
O 0.6089 0.3901 0.8342  1 P 1.53
O 0.7331 0.5178 0.9224  1 P 1.54
O 0.4822 0.2669 0.0776  1 P 1.54
O 0.3911 0.6099 0.1658  1 P 1.53
O 0.6099 0.3911 0.1658  1 P 1.53
O 0.9142 0.1207 0.3769  1 P 1.55
O 0.2516 0.9881 0.6125  1 P 1.55
O 0.2522 0.2522 0.2142  2 P 1.63
O 0.8484 0.5808 0.6859  1 P 1.55
O 0.1207 0.9142 0.3769  1 P 1.55
O 0.9881 0.2516 0.6125  1 P 1.55
O 0.5627 0.3439 0.6680  1 P 1.54
O 0.8164 0.1519 0.8144  1 P 1.49
O 0.0651 0.3925 0.1621  1 P 1.51
Pd 0.5644 0.5644 0.0458  4 O 2.04-2.05
Pd 0.5874 0.0846 0.3431  4 O 1.99-2.02
Pd 0.6295 0.6295 0.2489  4 O 2.03-2.06
Pd 0.9154 0.4126 0.6569  4 O 1.99-2.02
Pd 0.4356 0.4356 0.9542  4 O 2.04-2.05
Pd 0.3705 0.3705 0.7511  4 O 2.03-2.06
Pd 0.0000 0.0000 0.5000  4 O 1.99
Pd 0.4126 0.9154 0.6569  4 O 1.99-2.02
Pd 0.0846 0.5874 0.3431  4 O 1.99-2.02
K 0.3551 0.8863 0.4012  6 O 2.68-2.95
K 0.2527 0.2527 0.5006  6 O 2.77-2.94
K 0.8863 0.3551 0.4012  6 O 2.68-2.95
K 0.5792 0.1281 0.9168  6 O 2.61-2.91
K 0.1281 0.5792 0.9168  6 O 2.61-2.91
K 0.1609 0.1609 0.0927  5 O 2.76-3.03
K 0.4208 0.8719 0.0832  6 O 2.61-2.91
K 0.6449 0.1137 0.5988  6 O 2.68-2.95
K 0.0000 0.0000 0.0000  6 O 2.84
K 0.8719 0.4208 0.0832  6 O 2.61-2.91
K 0.7412 0.2588 0.0000  8 O 2.74-2.83
K 0.8391 0.8391 0.9073  5 O 2.76-3.03
K 0.2588 0.7412 0.0000  8 O 2.74-2.83
K 0.7473 0.7473 0.4994  6 O 2.77-2.94
K 0.1137 0.6449 0.5988  6 O 2.68-2.95
P 0.1061 0.3172 0.8060  4 O 1.50-1.63
P 0.0794 0.8629 0.3010  4 O 1.49-1.63
P 0.8939 0.6828 0.1940  4 O 1.50-1.63
P 0.6281 0.4220 0.6949  4 O 1.53-1.62
P 0.6036 0.8207 0.8112  4 O 1.51-1.63
P 0.1371 0.9206 0.6990  4 O 1.49-1.63
P 0.3964 0.1793 0.1888  4 O 1.51-1.63
P 0.3172 0.1061 0.8060  4 O 1.50-1.63
P 0.5780 0.3719 0.3051  4 O 1.53-1.62
P 0.4220 0.6281 0.6949  4 O 1.53-1.62
P 0.6828 0.8939 0.1940  4 O 1.50-1.63
P 0.1793 0.3964 0.1888  4 O 1.51-1.63
P 0.9206 0.1371 0.6990  4 O 1.49-1.63
P 0.8207 0.6036 0.8112  4 O 1.51-1.63
P 0.8629 0.0794 0.3010  4 O 1.49-1.63
P 0.3719 0.5780 0.3051  4 O 1.53-1.62

final energy: -11.901 eV per atom
magnetization: 1.1 μB per cell
uncorrected formation energy: -2.16 eV per atom
density of states at the Fermi level: 8.7 states/eV/cell